Here is a relaxed structure of Ac7Rh2Au2 from Alexandria via LeMat-Bulk. Energies are from GGA-PBE.

- E_tot (eV/atom) = -5.106
- formation energy from the elements (meV/atom) = -559
- Fermi-level density of states (states/eV per atom) = 0.912
- mass density (kg/m³) = 9827

Structure (POSCAR):
```
Ac7Rh2Au2
1.0
-2.091 8.554 5.170
2.091 -8.554 5.170
2.091 8.554 -5.170
Ac Rh Au
7 2 2
direct
0.000 0.000 0.000
0.114 0.424 0.690
0.178 0.792 0.386
0.406 0.792 0.614
0.530 0.635 0.895
0.734 0.424 0.310
0.739 0.635 0.105
0.375 0.375 0.000
0.794 0.294 0.500
0.377 0.136 0.240
0.896 0.136 0.760
```

Here is a relaxed structure of ZnTeF3 from Alexandria via LeMat-Bulk. Energies are from GGA-PBE.

- E_tot (eV/atom) = -3.335
- Fermi-level density of states (states/eV per atom) = 0.153
- excess energy over the best structure of this formula in the dataset (meV per atom) = 0
- ΔE_f (raw) (eV/atom) = -1.329
- mass density (kg/m³) = 5393

Structure (POSCAR):
```
ZnTeF3
1.0
4.254 0.000 0.000
0.000 4.254 0.000
0.000 0.000 4.254
Zn Te F
1 1 3
direct
0.000 0.000 0.000
0.500 0.500 0.500
0.000 0.000 0.500
0.000 0.500 0.000
0.500 0.000 0.000
```

Here is a relaxed structure of ZrCo2TeC from Alexandria via LeMat-Bulk. Energies are from GGA-PBE.

- E_tot (eV/atom) = -5.077
- Fermi-level density of states (states/eV per atom) = 0.682
- ΔE_f (raw) (eV/atom) = 1.948
- mass density (kg/m³) = 5290

Structure (POSCAR):
```
ZrCo2TeC
1.0
4.468 0.000 0.000
0.000 4.468 0.000
0.000 0.000 5.482
Zr Co Te C
1 2 1 1
direct
0.000 0.000 0.000
0.000 0.500 0.500
0.500 0.000 0.500
0.000 0.000 0.500
0.500 0.500 0.000
```

Here is a relaxed structure of Tl2Hg3 from Alexandria via LeMat-Bulk. Energies are from GGA-PBE.

- E_tot (eV/atom) = -1.103
- formation energy from the elements (meV/atom) = 24
- Fermi-level density of states (states/eV per atom) = 0.280
- excess energy over the best structure of this formula in the dataset (meV per atom) = 5
- mass density (kg/m³) = 10915

Structure (POSCAR):
```
Tl2Hg3
1.0
3.171 1.831 8.826
-3.171 1.831 8.826
0.000 -3.662 8.826
Tl Hg
4 6
direct
0.187 0.187 0.187
0.313 0.313 0.313
0.687 0.687 0.687
0.813 0.813 0.813
0.249 0.750 0.251
0.250 0.749 0.751
0.251 0.249 0.750
0.749 0.751 0.250
0.750 0.251 0.249
0.751 0.250 0.749
```

Here is a relaxed structure of Cs2LaInBr6 from Alexandria via LeMat-Bulk. Energies are from GGA-PBE.

- E_tot (eV/atom) = -3.627
- Fermi-level density of states (states/eV per atom) = 0.000
- excess energy over the best structure of this formula in the dataset (meV per atom) = 0
- ΔE_f (raw) (eV/atom) = -1.686
- mass density (kg/m³) = 3767

Structure (POSCAR):
```
Cs2LaInBr6
1.0
8.341 0.000 0.000
0.000 8.784 0.000
-8.210 0.000 12.019
Cs La In Br
4 2 2 12
direct
0.227 0.067 0.249
0.227 0.433 0.749
0.773 0.567 0.251
0.773 0.933 0.751
0.500 0.000 0.000
0.500 0.500 0.500
0.000 0.000 0.500
0.000 0.500 0.000
0.169 0.187 0.955
0.169 0.313 0.455
0.268 0.720 0.951
0.268 0.780 0.451
0.355 0.026 0.763
0.355 0.474 0.263
0.645 0.526 0.737
0.645 0.974 0.237
0.732 0.220 0.549
0.732 0.280 0.049
0.831 0.687 0.545
0.831 0.813 0.045
```

Here is a relaxed structure of K7Rb12S from Alexandria via LeMat-Bulk. Energies are from GGA-PBE.

- E_tot (eV/atom) = -1.273
- Fermi-level density of states (states/eV per atom) = 0.705
- ΔE_f (raw) (eV/atom) = -0.102
- mass density (kg/m³) = 1367

Structure (POSCAR):
```
K7Rb12S
1.0
12.381 7.148 3.046
-12.381 7.148 3.046
0.000 -14.296 3.046
K Rb S
7 12 1
direct
0.000 0.000 0.000
0.215 0.410 0.410
0.410 0.215 0.410
0.410 0.410 0.215
0.590 0.590 0.785
0.590 0.785 0.590
0.785 0.590 0.590
0.000 0.409 0.591
0.000 0.591 0.409
0.011 0.011 0.356
0.011 0.356 0.011
0.356 0.011 0.011
0.409 0.000 0.591
0.409 0.591 0.000
0.591 0.000 0.409
0.591 0.409 0.000
0.644 0.989 0.989
0.989 0.644 0.989
0.989 0.989 0.644
0.500 0.500 0.500
```

Here is a relaxed structure of NaCe3Pm4Se8 from Alexandria via LeMat-Bulk. Energies are from GGA-PBE.

- E_tot (eV/atom) = -5.918
- Fermi-level density of states (states/eV per atom) = 1.402
- ΔE_f (raw) (eV/atom) = -1.793
- mass density (kg/m³) = 6536

Structure (POSCAR):
```
NaCe3Pm4Se8
1.0
4.201 2.426 6.878
-4.201 2.426 6.878
0.000 -4.851 6.878
Na Ce Pm Se
1 3 4 8
direct
0.000 0.000 0.000
0.000 0.500 0.500
0.500 0.000 0.500
0.500 0.500 0.000
0.000 0.000 0.500
0.000 0.500 0.000
0.500 0.000 0.000
0.500 0.500 0.500
0.248 0.751 0.751
0.249 0.249 0.752
0.249 0.752 0.249
0.250 0.250 0.250
0.750 0.750 0.750
0.751 0.248 0.751
0.751 0.751 0.248
0.752 0.249 0.249
```

Here is a relaxed structure of TlSnTe2N from Alexandria via LeMat-Bulk. Energies are from GGA-PBE.

- E_tot (eV/atom) = -3.641
- Fermi-level density of states (states/eV per atom) = 1.041
- excess energy over the best structure of this formula in the dataset (meV per atom) = 0
- ΔE_f (raw) (eV/atom) = 0.554
- mass density (kg/m³) = 6694

Structure (POSCAR):
```
TlSnTe2N
1.0
6.118 0.000 0.000
0.000 6.118 0.000
0.000 0.000 3.926
Tl Sn Te N
1 1 2 1
direct
0.000 0.000 0.000
0.500 0.500 0.500
0.000 0.500 0.500
0.500 0.000 0.500
0.500 0.500 0.000
```

Here is a relaxed structure of HoO from Alexandria via LeMat-Bulk. Energies are from GGA-PBE.

- E_tot (eV/atom) = -7.573
- Fermi-level density of states (states/eV per atom) = 0.417
- ΔE_f (raw) (eV/atom) = -2.805
- mass density (kg/m³) = 8943

Structure (POSCAR):
```
HoO
1.0
3.234 0.000 0.000
0.000 3.234 0.000
-0.033 0.000 6.423
Ho O
2 2
direct
0.248 0.250 0.279
0.752 0.750 0.721
0.252 0.250 0.641
0.748 0.750 0.359
```

Here is a relaxed structure of DyHf3Sc2N6 from Alexandria via LeMat-Bulk. Energies are from GGA-PBE.

- E_tot (eV/atom) = -9.943
- Fermi-level density of states (states/eV per atom) = 0.260
- ΔE_f (raw) (eV/atom) = -1.853
- mass density (kg/m³) = 9974

Structure (POSCAR):
```
DyHf3Sc2N6
1.0
2.809 -4.857 0.000
2.809 4.857 0.000
-1.876 0.000 5.319
Dy Hf Sc N
1 3 2 6
direct
0.000 0.000 0.000
0.168 0.832 0.500
0.500 0.500 0.500
0.832 0.168 0.500
0.333 0.667 0.000
0.667 0.333 0.000
0.087 0.429 0.263
0.254 0.254 0.738
0.429 0.087 0.263
0.571 0.913 0.737
0.746 0.746 0.262
0.913 0.571 0.737
```

Here is a relaxed structure of Th6Te2Os3S from Alexandria via LeMat-Bulk. Energies are from GGA-PBE.

- E_tot (eV/atom) = -8.271
- Fermi-level density of states (states/eV per atom) = 0.329
- ΔE_f (raw) (eV/atom) = -0.886
- mass density (kg/m³) = 11025

Structure (POSCAR):
```
Th6Te2Os3S
1.0
9.609 -2.083 0.000
9.609 2.083 0.000
-2.853 0.000 8.466
Th Te Os S
6 2 3 1
direct
0.011 0.011 0.234
0.329 0.329 0.444
0.346 0.346 0.885
0.654 0.654 0.115
0.671 0.671 0.556
0.989 0.989 0.766
0.168 0.168 0.838
0.832 0.832 0.162
0.167 0.167 0.340
0.500 0.500 0.000
0.833 0.833 0.660
0.500 0.500 0.500
```

Here is a relaxed structure of CeAlTlS4 from Alexandria via LeMat-Bulk. Energies are from GGA-PBE.

- E_tot (eV/atom) = -5.297
- ΔE_f (raw) (eV/atom) = -1.219
- mass density (kg/m³) = 4571

Structure (POSCAR):
```
CeAlTlS4
1.0
6.586 0.000 0.000
0.000 6.551 0.000
-2.691 0.000 8.415
Ce Al Tl S
2 2 2 8
direct
0.231 0.250 0.055
0.769 0.750 0.945
0.229 0.750 0.827
0.771 0.250 0.173
0.269 0.250 0.565
0.731 0.750 0.435
0.006 0.508 0.204
0.006 0.992 0.204
0.435 0.750 0.668
0.445 0.750 0.080
0.555 0.250 0.920
0.565 0.250 0.332
0.994 0.008 0.796
0.994 0.492 0.796
```